[1]
K2ZnCr2 | Alexandria | PBEsol | optimized geometry; calculated volume = 31.02 Å³/atom; total energy = -18.41 eV/cell; formation energy from the elements = 1185.2 meV/atom
1.0
-1.912 1.912 10.604
1.912 -1.912 10.604
1.912 1.912 -10.604
K Zn Cr
2 1 2
Direct
0.107 0.107 0.000
0.893 0.893 0.000
0.500 0.500 0.000
0.250 0.750 0.500
0.750 0.250 0.500

[2]
La3As2ClO7 | Alexandria | PBEsol | optimized geometry; calculated volume = 17.88 Å³/atom; total energy = -398.07 eV/cell; formation energy (no corrections) = -3330 kJ/mol of formula units
1.0
12.944 0.000 0.000
0.000 12.944 0.000
0.000 0.000 5.549
La As Cl O
12 8 4 28
Direct
0.053 0.363 0.000
0.137 0.553 0.500
0.231 0.769 0.000
0.269 0.269 0.500
0.363 0.053 0.000
0.447 0.863 0.500
0.553 0.137 0.500
0.637 0.947 0.000
0.731 0.731 0.500
0.769 0.231 0.000
0.863 0.447 0.500
0.947 0.637 0.000
0.020 0.792 0.500
0.208 0.980 0.500
0.292 0.480 0.000
0.480 0.292 0.000
0.520 0.708 0.000
0.708 0.520 0.000
0.792 0.020 0.500
0.980 0.208 0.500
0.168 0.168 0.000
0.332 0.668 0.500
0.668 0.332 0.500
0.832 0.832 0.000
0.000 0.500 0.250
0.000 0.500 0.750
0.086 0.723 0.261
0.086 0.723 0.739
0.088 0.292 0.500
0.208 0.588 0.000
0.223 0.414 0.239
0.223 0.414 0.761
0.277 0.914 0.261
0.277 0.914 0.739
0.292 0.088 0.500
0.412 0.792 0.000
0.414 0.223 0.239
0.414 0.223 0.761
0.500 0.000 0.250
0.500 0.000 0.750
0.586 0.777 0.239
0.586 0.777 0.761
0.588 0.208 0.000
0.708 0.912 0.500
0.723 0.086 0.261
0.723 0.086 0.739
0.777 0.586 0.239
0.777 0.586 0.761
0.792 0.412 0.000
0.912 0.708 0.500
0.914 0.277 0.261
0.914 0.277 0.739

[3]
TiCo2 | Alexandria | PBEsol | optimized geometry; calculated volume = 11.67 Å³/atom; total energy = -49.65 eV/cell; formation energy from the elements = -342.6 meV/atom
1.0
0.000 3.271 3.271
3.271 0.000 3.271
3.271 3.271 0.000
Ti Co
2 4
Direct
0.125 0.125 0.125
0.875 0.875 0.875
0.000 0.500 0.500
0.500 0.000 0.500
0.500 0.500 0.000
0.500 0.500 0.500

[4]
TlFeS2F | Alexandria | PBEsol | optimized geometry; calculated volume = 25.62 Å³/atom; total energy = -16.92 eV/cell; formation energy (no corrections) = 518 kJ/mol of formula units
1.0
4.908 0.000 0.000
0.000 4.908 0.000
0.000 0.000 5.318
Tl Fe S F
1 1 2 1
Direct
0.000 0.000 0.000
0.000 0.000 0.500
0.000 0.500 0.000
0.500 0.000 0.000
0.500 0.500 0.500

[5]
Cu2Pt3 | Alexandria | PBEsol | optimized geometry; calculated volume = 13.72 Å³/atom; total energy = -60.11 eV/cell; formation energy from the elements = -99.0 meV/atom
1.0
4.645 0.000 0.000
1.592 5.147 0.000
1.534 0.940 5.741
Cu Pt
4 6
Direct
0.000 0.248 0.001
0.000 0.752 0.999
0.201 0.049 0.601
0.799 0.951 0.399
0.198 0.553 0.601
0.392 0.856 0.197
0.399 0.346 0.201
0.601 0.654 0.799
0.608 0.144 0.803
0.802 0.447 0.399

[6]
Mg4In5 | Alexandria | PBEsol | optimized geometry; calculated volume = 23.16 Å³/atom; total energy = -22.49 eV/cell; formation energy from the elements = -79.1 meV/atom
1.0
-4.771 4.771 2.289
4.771 -4.771 2.289
4.771 4.771 -2.289
Mg In
4 5
Direct
0.000 0.333 0.333
0.000 0.667 0.667
0.333 0.000 0.333
0.667 0.000 0.667
0.000 0.000 0.000
0.330 0.330 0.661
0.330 0.670 0.000
0.670 0.330 0.000
0.670 0.670 0.339

[7]
Na5Mn2P2C2O14 | Alexandria | PBEsol | optimized geometry; calculated volume = 12.14 Å³/atom; total energy = -357.11 eV/cell; formation energy (no corrections) = -4600 kJ/mol of formula units
1.0
5.181 0.000 0.000
0.006 11.022 0.000
0.027 3.490 10.632
Na Mn P C O
10 4 4 4 28
Direct
0.229 0.109 0.124
0.243 0.880 0.371
0.244 0.366 0.879
0.246 0.596 0.326
0.251 0.625 0.628
0.749 0.375 0.372
0.754 0.404 0.674
0.756 0.634 0.121
0.757 0.120 0.629
0.771 0.891 0.876
0.221 0.195 0.445
0.226 0.700 0.942
0.774 0.300 0.058
0.779 0.805 0.555
0.295 0.913 0.664
0.307 0.417 0.162
0.693 0.583 0.838
0.705 0.087 0.336
0.261 0.344 0.593
0.281 0.836 0.086
0.719 0.164 0.914
0.739 0.656 0.407
0.036 0.318 0.556
0.066 0.796 0.044
0.170 0.341 0.088
0.175 0.834 0.586
0.204 0.859 0.803
0.210 0.054 0.614
0.234 0.376 0.303
0.245 0.562 0.111
0.269 0.894 0.167
0.281 0.411 0.669
0.392 0.599 0.849
0.405 0.096 0.340
0.465 0.303 0.550
0.490 0.805 0.040
0.510 0.195 0.960
0.535 0.697 0.450
0.595 0.904 0.660
0.608 0.401 0.151
0.719 0.589 0.331
0.731 0.106 0.833
0.755 0.438 0.889
0.766 0.624 0.697
0.790 0.946 0.386
0.796 0.141 0.197
0.825 0.166 0.414
0.830 0.659 0.912
0.934 0.204 0.956
0.964 0.682 0.444

[8]
RbTeS3 | Alexandria | PBEsol | optimized geometry; calculated volume = 26.69 Å³/atom; total energy = -18.71 eV/cell; formation energy (no corrections) = -97 kJ/mol of formula units
1.0
5.110 0.000 0.000
0.000 5.110 0.000
0.000 0.000 5.110
Rb Te S
1 1 3
Direct
0.000 0.000 0.000
0.500 0.500 0.500
0.000 0.500 0.500
0.500 0.000 0.500
0.500 0.500 0.000

[9]
CaOsSe2 | Alexandria | PBEsol | optimized geometry; calculated volume = 19.34 Å³/atom; total energy = -24.78 eV/cell; formation energy (no corrections) = -263 kJ/mol of formula units
1.0
1.991 1.149 5.636
-1.991 1.149 5.636
0.000 -2.298 5.636
Ca Os Se
1 1 2
Direct
0.000 0.000 0.000
0.500 0.500 0.500
0.231 0.231 0.231
0.769 0.769 0.769

[10]
SrCuP | Alexandria | PBEsol | optimized geometry; calculated volume = 22.78 Å³/atom; total energy = -12.42 eV/cell; formation energy from the elements = -150.9 meV/atom
1.0
-2.072 2.072 3.981
2.072 -2.072 3.981
2.072 2.072 -3.981
Sr Cu P
1 1 1
Direct
0.000 0.000 0.000
0.363 0.363 0.000
0.638 0.638 0.000

[11]
FeMoC3 | Alexandria | PBEsol | optimized geometry; calculated volume = 12.71 Å³/atom; total energy = -38.76 eV/cell; formation energy from the elements = 2181.2 meV/atom
1.0
3.990 0.000 0.000
0.000 3.990 0.000
0.000 0.000 3.990
Fe Mo C
1 1 3
Direct
0.000 0.000 0.000
0.500 0.500 0.500
0.000 0.500 0.500
0.500 0.000 0.500
0.500 0.500 0.000

[12]
CdRh2 | Alexandria | PBEsol | optimized geometry; calculated volume = 15.14 Å³/atom; total energy = -34.74 eV/cell; formation energy from the elements = 34.3 meV/atom
1.0
5.214 -1.385 0.000
5.214 1.385 0.000
-1.678 0.000 6.291
Cd Rh
2 4
Direct
0.024 0.024 0.297
0.976 0.976 0.703
0.295 0.295 0.361
0.349 0.349 0.976
0.651 0.651 0.024
0.705 0.705 0.639

- Number 7 is which compound?
  Na5Mn2P2C2O14